Entry 1:
GaP2SI | Alexandria via LeMat-Bulk | PBE | relaxed; ρ = 4.4 g cm⁻³; formation energy without anion corrections = 0.79 eV/atom; V = 111 Å³ per cell
1.0
-1.721 4.155 -1.994
-4.071 -0.373 2.737
2.008 2.423 3.316
Ga I P S
1 1 2 1
Direct
0.000 0.000 0.000
0.500 0.500 0.500
0.500 0.000 0.000
0.000 0.500 0.000
0.000 0.000 0.500

=====

Entry 2:
TlAg3 | Alexandria via LeMat-Bulk | PBE | relaxed; ρ = 11.0 g cm⁻³; total energy = -2.628 eV/atom; V = 160 Å³ per cell
1.0
6.158 0.000 0.000
-3.079 5.333 0.000
0.000 0.000 4.871
Ag Tl
6 2
Direct
0.161 0.321 0.750
0.839 0.679 0.250
0.161 0.839 0.750
0.679 0.839 0.750
0.839 0.161 0.250
0.321 0.161 0.250
0.667 0.333 0.750
0.333 0.667 0.250

=====

Entry 3:
Cr2TeRh | Alexandria via LeMat-Bulk | PBE | relaxed; ρ = 8.8 g cm⁻³; formation energy without anion corrections = 0.34 eV/atom; V = 63 Å³ per cell
1.0
4.885 0.043 0.271
3.933 2.899 0.271
1.116 0.372 4.603
Rh Cr Te
1 2 1
Direct
0.750 0.750 0.750
0.501 0.501 0.579
0.999 0.999 0.921
0.250 0.250 0.250

=====

Entry 4:
Sm5Er2Tm2 | Alexandria via LeMat-Bulk | PBE | relaxed; ρ = 8.2 g cm⁻³; total energy = -4.609 eV/atom; V = 289 Å³ per cell
1.0
-3.551 3.212 1.591
-8.064 -3.057 -3.827
-5.702 -4.180 3.714
Sm Er Tm
5 2 2
Direct
0.000 0.000 0.000
0.334 0.001 0.332
0.223 0.665 0.890
0.777 0.335 0.110
0.666 0.999 0.668
0.109 0.335 0.446
0.891 0.665 0.554
0.555 0.664 0.227
0.445 0.336 0.773

=====

Entry 5:
CaDy3Sn12 | Alexandria via LeMat-Bulk | PBE | relaxed; ρ = 7.7 g cm⁻³; total energy = -4.410 eV/atom; V = 421 Å³ per cell
1.0
-3.992 -1.272 -2.154
1.876 -4.206 -0.995
-6.662 -6.849 16.394
Sn Ca Dy
12 1 3
Direct
0.000 0.500 0.624
0.500 0.000 0.376
0.500 0.500 0.500
0.500 0.000 0.873
0.500 0.000 0.127
0.500 0.500 0.000
0.500 0.500 0.251
0.000 0.500 0.873
0.000 0.500 0.127
0.500 0.500 0.749
0.000 0.500 0.376
0.500 0.000 0.624
0.000 0.000 0.000
0.000 0.000 0.500
0.000 0.000 0.253
0.000 0.000 0.747

=====

Entry 6:
TiSe3F | Alexandria via LeMat-Bulk | PBE | relaxed; ρ = 5.2 g cm⁻³; formation energy without anion corrections = 0.24 eV/atom; V = 97 Å³ per cell
1.0
4.591 0.000 0.000
0.000 4.591 0.000
0.000 0.000 4.591
Ti Se F
1 3 1
Direct
0.500 0.500 0.500
0.000 0.000 0.500
0.000 0.500 0.000
0.500 0.000 0.000
0.000 0.000 0.000

=====

Entry 7:
PmTh2Rh2 | Alexandria via LeMat-Bulk | PBE | relaxed; ρ = 10.3 g cm⁻³; total energy = -7.398 eV/atom; V = 132 Å³ per cell
1.0
-4.837 -1.290 -1.311
1.816 -2.767 -3.978
1.792 -1.933 5.540
Rh Th Pm
2 2 1
Direct
0.364 0.364 0.726
0.636 0.636 0.274
0.750 0.250 0.500
0.250 0.750 0.500
0.000 0.000 0.000

=====

Entry 8:
BeNb2Pb2 | Alexandria via LeMat-Bulk | PBE | relaxed; ρ = 9.7 g cm⁻³; total energy = -5.511 eV/atom; V = 209 Å³ per cell
1.0
-2.641 -4.162 5.205
-5.124 -2.312 -4.448
2.414 -3.036 -1.203
Pb Nb Be
4 4 2
Direct
0.160 0.340 0.000
0.340 0.840 0.000
0.840 0.660 0.000
0.660 0.160 0.000
0.641 0.859 0.500
0.141 0.641 0.500
0.359 0.141 0.500
0.859 0.359 0.500
0.500 0.500 0.000
0.000 0.000 0.000

=====

- Which of these has the lowest V?
  Cr2TeRh

=====

- Which formula does entry 8 have?
  BeNb2Pb2

=====

- What is the ρ in the first record?
  4.4 g cm⁻³